{
  "formula": "Ba3Dy2WO9",
  "functional": "PBE+U",
  "state": "optimized geometry",
  "dos_ef_per_ev_cell": 0.0,
  "e_tot_ev_per_cell": -221.6,
  "spacegroup": "Immm",
  "cell": [[-3.051, 4.325, 9.155], [3.051, -4.325, 9.155], [3.051, 4.325, -9.155]],
  "species": ["Ba", "Ba", "Ba", "Ba", "Ba", "Ba", "Dy", "Dy", "Dy", "Dy", "W", "W", "O", "O", "O", "O", "O", "O", "O", "O", "O", "O", "O", "O", "O", "O", "O", "O", "O", "O"],
  "fractional_positions": [[0.080, 0.340, 0.740], [0.235, 0.000, 0.235], [0.401, 0.660, 0.740], [0.599, 0.340, 0.260], [0.765, 0.000, 0.765], [0.920, 0.660, 0.260], [0.000, 0.500, 0.500], [0.171, 0.171, 0.000], [0.500, 0.500, 0.000], [0.829, 0.829, 0.000], [0.335, 0.835, 0.500], [0.665, 0.165, 0.500], [0.089, 0.339, 0.249], [0.089, 0.840, 0.751], [0.103, 0.831, 0.271], [0.253, 0.500, 0.753], [0.260, 0.530, 0.270], [0.260, 0.990, 0.730], [0.411, 0.138, 0.728], [0.411, 0.683, 0.272], [0.440, 0.169, 0.271], [0.560, 0.831, 0.729], [0.589, 0.317, 0.728], [0.589, 0.862, 0.272], [0.740, 0.010, 0.270], [0.740, 0.470, 0.730], [0.747, 0.500, 0.247], [0.897, 0.169, 0.729], [0.911, 0.160, 0.249], [0.911, 0.661, 0.751]]
}